LaY2ScO: optimized geometry, GGA-PBE.

Excess energy over the best structure of this formula in the dataset, meV/atom: 111
Magnetization, μB per formula unit: 0.000
DOS at the Fermi energy, states/eV per atom: 1.331
ΔE_f (raw), kJ/mol of formula units: -487.8
Symmetry: P4/mmm

```
LaY2ScO
1.0
5.215 0.000 0.000
0.000 5.215 0.000
0.000 0.000 4.383
La Y Sc O
1 2 1 1
Cartesian
0.000 0.000 0.000
0.000 2.607 2.192
2.607 0.000 2.192
2.607 2.607 0.000
2.607 2.607 2.192
```